Run i
Density functional theory data (PBE-GGA) for MgV2Si2 after structural relaxation.

Values from the calculation:
D(E_F) ... 0.94 states/eV per atom
Mass density ... 4.270 g/cm3

Structure (CIF):
```
data_MgV2Si2
_space_group_name_H-M_alt 'P 4/m b m'
_space_group_IT_number 127
_space_group_name_Hall '-P 4 2ab'
_cell_length_a 6.6741
_cell_length_b 6.6741
_cell_length_c 3.1842
_cell_angle_alpha 90.00
_cell_angle_beta 90.00
_cell_angle_gamma 90.00
loop_
_atom_site_label
_atom_site_type_symbol
_atom_site_fract_x
_atom_site_fract_y
_atom_site_fract_z
Mg1 Mg 0.0000 0.0000 0.0000
V1 V 0.1656 0.3344 0.5000
Si1 Si 0.1276 0.6276 0.0000
```

Run ii
Density functional theory data (PBE-GGA) for MgV2Si2 after structural relaxation.

Values from the calculation:
D(E_F) ... 0.70 states/eV per atom
Mass density ... 3.925 g/cm3

Structure (CIF):
```
data_MgV2Si2
_space_group_name_H-M_alt 'I 4/m m m'
_space_group_IT_number 139
_space_group_name_Hall '-I 4 2'
_cell_length_a 3.5441
_cell_length_b 3.5441
_cell_length_c 12.2833
_cell_angle_alpha 90.00
_cell_angle_beta 90.00
_cell_angle_gamma 90.00
loop_
_atom_site_label
_atom_site_type_symbol
_atom_site_fract_x
_atom_site_fract_y
_atom_site_fract_z
Mg1 Mg 0.0000 0.0000 0.0000
V1 V 0.0000 0.0000 0.3965
Si1 Si 0.0000 0.5000 0.2500
```

Stability, highest: run i

Run i
Density functional theory data (PBE-GGA) for MgV3Si after structural relaxation.

Values from the calculation:
D(E_F) ... 1.62 states/eV per atom
Mass density ... 3.821 g/cm3

Structure (CIF):
```
data_MgV3Si
_space_group_name_H-M_alt 'P m -3 m'
_space_group_IT_number 221
_space_group_name_Hall '-P 4 2 3'
_cell_length_a 4.4679
_cell_length_b 4.4679
_cell_length_c 4.4679
_cell_angle_alpha 90.00
_cell_angle_beta 90.00
_cell_angle_gamma 90.00
loop_
_atom_site_label
_atom_site_type_symbol
_atom_site_fract_x
_atom_site_fract_y
_atom_site_fract_z
Mg1 Mg 0.0000 0.0000 0.0000
V1 V 0.0000 0.5000 0.5000
Si1 Si 0.5000 0.5000 0.5000
```

Run ii
Density functional theory data (PBE-GGA) for MgV3Si after structural relaxation.

Values from the calculation:
D(E_F) ... 1.16 states/eV per atom
Mass density ... 3.927 g/cm3

Structure (CIF):
```
data_MgV3Si
_space_group_name_H-M_alt 'P m -3 m'
_space_group_IT_number 221
_space_group_name_Hall '-P 4 2 3'
_cell_length_a 4.4272
_cell_length_b 4.4272
_cell_length_c 4.4272
_cell_angle_alpha 90.00
_cell_angle_beta 90.00
_cell_angle_gamma 90.00
loop_
_atom_site_label
_atom_site_type_symbol
_atom_site_fract_x
_atom_site_fract_y
_atom_site_fract_z
Mg1 Mg 0.0000 0.0000 0.0000
V1 V 0.0000 0.0000 0.5000
Si1 Si 0.5000 0.5000 0.5000
```

Stability, highest: run i

Run i
Density functional theory data (PBE-GGA) for Mg6VSi after structural relaxation.

Values from the calculation:
D(E_F) ... 0.58 states/eV per atom
Mass density ... 2.353 g/cm3

Structure (CIF):
```
data_Mg6VSi
_space_group_name_H-M_alt 'A m m 2'
_space_group_IT_number 38
_cell_length_a 4.9351
_cell_length_b 5.8993
_cell_length_c 10.9017
_cell_angle_alpha 90.00
_cell_angle_beta 90.00
_cell_angle_gamma 90.00
loop_
_space_group_symop_operation_xyz
'x,y,z'
'-x,-y,z'
'-x,y,z'
'x,-y,z'
'x,y+1/2,z+1/2'
'-x,-y+1/2,z+1/2'
'-x,y+1/2,z+1/2'
'x,-y+1/2,z+1/2'
loop_
_atom_site_label
_atom_site_type_symbol
_atom_site_fract_x
_atom_site_fract_y
_atom_site_fract_z
Mg1 Mg 0.0000 0.0000 0.0000
Mg2 Mg 0.0000 0.0000 0.4984
Mg3 Mg 0.0000 0.2458 0.7561
Mg4 Mg 0.5000 0.2496 0.0945
V1 V 0.5000 0.0000 0.8457
Si1 Si 0.5000 0.0000 0.3416
```

Run ii
Density functional theory data (PBE-GGA) for Mg6VSi after structural relaxation.

Values from the calculation:
D(E_F) ... 0.61 states/eV per atom
Mass density ... 2.352 g/cm3

Structure (CIF):
```
data_Mg6VSi
_space_group_name_H-M_alt 'A m m 2'
_space_group_IT_number 38
_cell_length_a 4.8380
_cell_length_b 6.1846
_cell_length_c 10.6122
_cell_angle_alpha 90.00
_cell_angle_beta 90.00
_cell_angle_gamma 90.00
loop_
_space_group_symop_operation_xyz
'x,y,z'
'-x,-y,z'
'-x,y,z'
'x,-y,z'
'x,y+1/2,z+1/2'
'-x,-y+1/2,z+1/2'
'-x,y+1/2,z+1/2'
'x,-y+1/2,z+1/2'
loop_
_atom_site_label
_atom_site_type_symbol
_atom_site_fract_x
_atom_site_fract_y
_atom_site_fract_z
Mg1 Mg 0.0000 0.0000 0.0000
Mg2 Mg 0.0000 0.2430 0.2540
Mg3 Mg 0.5000 0.0000 0.8334
Mg4 Mg 0.5000 0.2450 0.5834
V1 V 0.5000 0.0000 0.3445
Si1 Si 0.0000 0.0000 0.4846
```

Stability, highest: run ii

Run i
Density functional theory data (PBE-GGA) for MgSi2W2 after structural relaxation.

Values from the calculation:
D(E_F) ... 0.08 states/eV per atom
Mass density ... 10.038 g/cm3

Structure (CIF):
```
data_MgSi2W2
_space_group_name_H-M_alt 'P 4/m b m'
_space_group_IT_number 127
_space_group_name_Hall '-P 4 2ab'
_cell_length_a 6.6825
_cell_length_b 6.6825
_cell_length_c 3.3202
_cell_angle_alpha 90.00
_cell_angle_beta 90.00
_cell_angle_gamma 90.00
loop_
_atom_site_label
_atom_site_type_symbol
_atom_site_fract_x
_atom_site_fract_y
_atom_site_fract_z
Mg1 Mg 0.0000 0.0000 0.0000
Si1 Si 0.1305 0.3695 0.0000
W1 W 0.1639 0.6639 0.5000
```

Run ii
Density functional theory data (PBE-GGA) for MgSi2W2 after structural relaxation.

Values from the calculation:
D(E_F) ... 0.52 states/eV per atom
Mass density ... 8.661 g/cm3

Structure (CIF):
```
data_MgSi2W2
_space_group_name_H-M_alt 'I 4/m m m'
_space_group_IT_number 139
_space_group_name_Hall '-I 4 2'
_cell_length_a 3.9876
_cell_length_b 3.9876
_cell_length_c 10.8074
_cell_angle_alpha 90.00
_cell_angle_beta 90.00
_cell_angle_gamma 90.00
loop_
_atom_site_label
_atom_site_type_symbol
_atom_site_fract_x
_atom_site_fract_y
_atom_site_fract_z
Mg1 Mg 0.0000 0.0000 0.0000
Si1 Si 0.0000 0.0000 0.3940
W1 W 0.0000 0.5000 0.2500
```

Stability, highest: run i

Run i
Density functional theory data (PBE-GGA) for Mg6SiW after structural relaxation.

Values from the calculation:
D(E_F) ... 0.55 states/eV per atom
Mass density ... 3.883 g/cm3

Structure (CIF):
```
data_Mg6SiW
_space_group_name_H-M_alt 'A m m 2'
_space_group_IT_number 38
_cell_length_a 4.8027
_cell_length_b 6.0313
_cell_length_c 10.5633
_cell_angle_alpha 90.00
_cell_angle_beta 90.00
_cell_angle_gamma 90.00
loop_
_space_group_symop_operation_xyz
'x,y,z'
'-x,-y,z'
'-x,y,z'
'x,-y,z'
'x,y+1/2,z+1/2'
'-x,-y+1/2,z+1/2'
'-x,y+1/2,z+1/2'
'x,-y+1/2,z+1/2'
loop_
_atom_site_label
_atom_site_type_symbol
_atom_site_fract_x
_atom_site_fract_y
_atom_site_fract_z
Mg1 Mg 0.0000 0.0000 0.0000
Mg2 Mg 0.0000 0.2406 0.7457
Mg3 Mg 0.5000 0.0000 0.1586
Mg4 Mg 0.5000 0.2488 0.4061
Si1 Si 0.0000 0.0000 0.5268
W1 W 0.5000 0.0000 0.6435
```

Run ii
Density functional theory data (PBE-GGA) for Mg6SiW after structural relaxation.

Values from the calculation:
D(E_F) ... 0.66 states/eV per atom
Mass density ... 3.922 g/cm3

Structure (CIF):
```
data_Mg6SiW
_space_group_name_H-M_alt 'A m m 2'
_space_group_IT_number 38
_cell_length_a 5.0238
_cell_length_b 5.6352
_cell_length_c 10.7019
_cell_angle_alpha 90.00
_cell_angle_beta 90.00
_cell_angle_gamma 90.00
loop_
_space_group_symop_operation_xyz
'x,y,z'
'-x,-y,z'
'-x,y,z'
'x,-y,z'
'x,y+1/2,z+1/2'
'-x,-y+1/2,z+1/2'
'-x,y+1/2,z+1/2'
'x,-y+1/2,z+1/2'
loop_
_atom_site_label
_atom_site_type_symbol
_atom_site_fract_x
_atom_site_fract_y
_atom_site_fract_z
Mg1 Mg 0.0000 0.0000 0.0000
Mg2 Mg 0.0000 0.0000 0.4984
Mg3 Mg 0.0000 0.2418 0.7578
Mg4 Mg 0.5000 0.2494 0.1018
Si1 Si 0.5000 0.0000 0.3490
W1 W 0.5000 0.0000 0.8538
```

Stability, highest: run i

Run i
Density functional theory data (PBE-GGA) for YMg14Si after structural relaxation.

Values from the calculation:
D(E_F) ... 0.43 states/eV per atom
Mass density ... 2.086 g/cm3

Structure (CIF):
```
data_YMg14Si
_space_group_name_H-M_alt 'A m m 2'
_space_group_IT_number 38
_cell_length_a 10.3462
_cell_length_b 6.1891
_cell_length_c 11.3706
_cell_angle_alpha 90.00
_cell_angle_beta 90.00
_cell_angle_gamma 90.00
loop_
_space_group_symop_operation_xyz
'x,y,z'
'-x,-y,z'
'-x,y,z'
'x,-y,z'
'x,y+1/2,z+1/2'
'-x,-y+1/2,z+1/2'
'-x,y+1/2,z+1/2'
'x,-y+1/2,z+1/2'
loop_
_atom_site_label
_atom_site_type_symbol
_atom_site_fract_x
_atom_site_fract_y
_atom_site_fract_z
Y1 Y 0.0000 0.0000 0.0000
Mg1 Mg 0.0000 0.2423 0.2517
Mg2 Mg 0.2283 0.0000 0.6433
Mg3 Mg 0.2515 0.2504 0.4014
Mg4 Mg 0.2563 0.0000 0.1548
Mg5 Mg 0.5000 0.0000 0.4935
Mg6 Mg 0.5000 0.0000 0.9905
Mg7 Mg 0.5000 0.2454 0.7411
Si1 Si 0.0000 0.0000 0.4780
```

Run ii
Density functional theory data (PBE-GGA) for YMg14Si after structural relaxation.

Values from the calculation:
D(E_F) ... 0.54 states/eV per atom
Mass density ... 2.073 g/cm3

Structure (CIF):
```
data_YMg14Si
_space_group_name_H-M_alt 'P -6 m 2'
_space_group_IT_number 187
_space_group_name_Hall 'P -6 2'
_cell_length_a 6.4593
_cell_length_b 6.4593
_cell_length_c 10.1367
_cell_angle_alpha 90.00
_cell_angle_beta 90.00
_cell_angle_gamma 120.00
loop_
_atom_site_label
_atom_site_type_symbol
_atom_site_fract_x
_atom_site_fract_y
_atom_site_fract_z
Y1 Y 0.0000 0.0000 0.0000
Mg1 Mg 0.0138 0.5069 0.0000
Mg2 Mg 0.1628 0.3255 0.2641
Mg3 Mg 0.5049 0.0097 0.5000
Mg4 Mg 0.6667 0.3333 0.2409
Si1 Si 0.0000 0.0000 0.5000
```

Stability, highest: run i